A relaxed structure of Tb3Ge7Pd2, computed with GGA-PBE.

Values from the calculation:
Formation energy = -622 meV/atom

Geometry as CIF:
```
data_Tb3Ge7Pd2
_cell_length_a 4.4103
_cell_length_b 4.1801
_cell_length_c 13.2441
_cell_angle_alpha 90.00
_cell_angle_beta 99.27
_cell_angle_gamma 90.00
_space_group_name_H-M_alt 'P 1 2/m 1'
_space_group_IT_number 10
loop_
_space_group_symop_operation_xyz
'x,y,z'
'-x,-y,-z'
'-x,y,-z'
'x,-y,z'
loop_
_atom_site_label
_atom_site_type_symbol
_atom_site_fract_x
_atom_site_fract_y
_atom_site_fract_z
_atom_site_occupancy
Tb1 Tb 0.0000 0.0000 0.0000 1
Tb2 Tb 0.3124 0.5000 0.6325 1
Ge1 Ge 0.1633 0.5000 0.1679 1
Ge2 Ge 0.2277 0.0000 0.4526 1
Ge3 Ge 0.4088 0.0000 0.8294 1
Ge4 Ge 0.5000 0.5000 0.0000 1
Pd1 Pd 0.1225 0.0000 0.2664 1
```


A relaxed structure of PrAg2Au, computed with GGA-PBE.

Values from the calculation:
Distance to the lowest polymorph of the same formula = 0.000 eV per atom
Formation energy = -381 meV/atom

Geometry as CIF:
```
data_PrAg2Au
_cell_length_a 5.3610
_cell_length_b 14.1557
_cell_length_c 5.3816
_cell_angle_alpha 90.00
_cell_angle_beta 117.47
_cell_angle_gamma 90.00
_space_group_name_H-M_alt 'C 1 2/c 1'
_space_group_IT_number 15
loop_
_space_group_symop_operation_xyz
'x,y,z'
'-x,-y,-z'
'-x,y,-z+1/2'
'x,-y,z+1/2'
'x+1/2,y+1/2,z'
'-x+1/2,-y+1/2,-z'
'-x+1/2,y+1/2,-z+1/2'
'x+1/2,-y+1/2,z+1/2'
loop_
_atom_site_label
_atom_site_type_symbol
_atom_site_fract_x
_atom_site_fract_y
_atom_site_fract_z
_atom_site_occupancy
Pr1 Pr 0.0000 0.1303 0.2500 1
Ag1 Ag 0.1804 0.4254 0.1045 1
Au1 Au 0.0000 0.2509 0.7500 1
```


A relaxed structure of SrTe2Se, computed with GGA-PBE.

Geometry as CIF:
```
data_SrTe2Se
_cell_length_a 4.5578
_cell_length_b 4.5578
_cell_length_c 6.1220
_cell_angle_alpha 90.00
_cell_angle_beta 90.00
_cell_angle_gamma 90.00
_space_group_name_H-M_alt 'P 4/m m m'
_space_group_IT_number 123
_space_group_name_Hall '-P 4 2'
loop_
_atom_site_label
_atom_site_type_symbol
_atom_site_fract_x
_atom_site_fract_y
_atom_site_fract_z
_atom_site_occupancy
Sr1 Sr 0.0000 0.0000 0.0000 1
Te1 Te 0.5000 0.5000 0.2324 1
Se1 Se 0.0000 0.0000 0.5000 1
```


A relaxed structure of BaMgCd2Au2, computed with GGA-PBE.

Values from the calculation:
Formation energy = -464 meV/atom

Geometry as CIF:
```
data_BaMgCd2Au2
_cell_length_a 4.8421
_cell_length_b 4.8421
_cell_length_c 7.6862
_cell_angle_alpha 90.00
_cell_angle_beta 90.00
_cell_angle_gamma 120.00
_space_group_name_H-M_alt 'P -3 m 1'
_space_group_IT_number 164
_space_group_name_Hall '-P 3 2"'
loop_
_atom_site_label
_atom_site_type_symbol
_atom_site_fract_x
_atom_site_fract_y
_atom_site_fract_z
_atom_site_occupancy
Ba1 Ba 0.0000 0.0000 0.0000 1
Mg1 Mg 0.0000 0.0000 0.5000 1
Cd1 Cd 0.3333 0.6667 0.3150 1
Au1 Au 0.3333 0.6667 0.6989 1
```


A relaxed structure of NiPtRh2, computed with GGA-PBE.

Values from the calculation:
Formation energy = 192 meV/atom

Geometry as CIF:
```
data_NiPtRh2
_cell_length_a 6.0923
_cell_length_b 6.0923
_cell_length_c 6.0923
_cell_angle_alpha 90.00
_cell_angle_beta 90.00
_cell_angle_gamma 90.00
_space_group_name_H-M_alt 'F -4 3 m'
_space_group_IT_number 216
_space_group_name_Hall 'F -4 2 3'
loop_
_atom_site_label
_atom_site_type_symbol
_atom_site_fract_x
_atom_site_fract_y
_atom_site_fract_z
_atom_site_occupancy
Ni1 Ni 0.0000 0.0000 0.0000 1
Pt1 Pt 0.2500 0.2500 0.2500 1
Rh1 Rh 0.0000 0.0000 0.5000 1
Rh2 Rh 0.2500 0.2500 0.7500 1
```


A relaxed structure of Hf3GeAu, computed with GGA-PBE.

Values from the calculation:
Distance to the lowest polymorph of the same formula = 0.683 eV per atom
Formation energy = 334 meV/atom

Geometry as CIF:
```
data_Hf3GeAu
_cell_length_a 4.9019
_cell_length_b 4.9019
_cell_length_c 4.9019
_cell_angle_alpha 90.00
_cell_angle_beta 90.00
_cell_angle_gamma 90.00
_space_group_name_H-M_alt 'P m -3 m'
_space_group_IT_number 221
_space_group_name_Hall '-P 4 2 3'
loop_
_atom_site_label
_atom_site_type_symbol
_atom_site_fract_x
_atom_site_fract_y
_atom_site_fract_z
_atom_site_occupancy
Hf1 Hf 0.0000 0.0000 0.5000 1
Ge1 Ge 0.0000 0.0000 0.0000 1
Au1 Au 0.5000 0.5000 0.5000 1
```


A relaxed structure of Nd4Se3O2, computed with GGA-PBE.

Values from the calculation:
Distance to the lowest polymorph of the same formula = 0.000 eV per atom

Geometry as CIF:
```
data_Nd4Se3O2
_cell_length_a 13.2580
_cell_length_b 4.0275
_cell_length_c 9.0976
_cell_angle_alpha 90.00
_cell_angle_beta 122.31
_cell_angle_gamma 90.00
_space_group_name_H-M_alt 'C 1 2/m 1'
_space_group_IT_number 12
loop_
_space_group_symop_operation_xyz
'x,y,z'
'-x,-y,-z'
'-x,y,-z'
'x,-y,z'
'x+1/2,y+1/2,z'
'-x+1/2,-y+1/2,-z'
'-x+1/2,y+1/2,-z'
'x+1/2,-y+1/2,z'
loop_
_atom_site_label
_atom_site_type_symbol
_atom_site_fract_x
_atom_site_fract_y
_atom_site_fract_z
_atom_site_occupancy
Nd1 Nd 0.1087 0.0000 0.3994 1
Nd2 Nd 0.1833 0.5000 0.1050 1
Se1 Se 0.0000 0.0000 0.0000 1
Se2 Se 0.1143 0.5000 0.7183 1
O1 O 0.1885 0.5000 0.3701 1
```


A relaxed structure of NaAlGaAg3, computed with GGA-PBE.

Values from the calculation:
Formation energy = 48 meV/atom

Geometry as CIF:
```
data_NaAlGaAg3
_cell_length_a 6.9863
_cell_length_b 12.7832
_cell_length_c 5.6702
_cell_angle_alpha 90.00
_cell_angle_beta 90.00
_cell_angle_gamma 90.00
_space_group_name_H-M_alt 'C m c m'
_space_group_IT_number 63
_space_group_name_Hall '-C 2c 2'
loop_
_atom_site_label
_atom_site_type_symbol
_atom_site_fract_x
_atom_site_fract_y
_atom_site_fract_z
_atom_site_occupancy
Na1 Na 0.0000 0.2017 0.2500 1
Al1 Al 0.0000 0.4343 0.2500 1
Ga1 Ga 0.0000 0.1454 0.7500 1
Ag1 Ag 0.0000 0.3508 0.7500 1
Ag2 Ag 0.2039 0.0000 0.0000 1
```


no.,DFT total energy (eV/atom)
1,-5.34
2,-3.82
3,-3.44
4,-2.45
5,-6.44
6,-7.22
7,-6.79
8,-2.73